A plane-wave DFT calculation with PBE-GGA was carried out for a relaxed structure of CuF3.

The structure in POSCAR format:
```
CuF3
1.0
2.565 -4.435 0.000
2.565 4.435 0.000
-1.675 0.000 4.562
Cu F
2 6
Direct
0.167 0.833 0.000
0.833 0.167 0.000
0.065 0.426 0.775
0.210 0.210 0.228
0.426 0.065 0.775
0.574 0.935 0.225
0.790 0.790 0.772
0.935 0.574 0.225
```

E: -3.7392 eV/atom

A plane-wave DFT calculation with PBE-GGA was carried out for a relaxed structure of HoThRhI.

The structure in POSCAR format:
```
HoThRhI
1.0
2.072 1.196 8.140
-2.072 1.196 8.140
0.000 -2.392 8.140
Ho Th Rh I
1 1 1 1
Direct
0.000 0.000 0.000
0.215 0.215 0.215
0.606 0.606 0.606
0.773 0.773 0.773
```

E: -6.0993 eV/atom

A plane-wave DFT calculation with PBE-GGA was carried out for a relaxed structure of CsNi2AuCl8.

The structure in POSCAR format:
```
CsNi2AuCl8
1.0
3.230 1.865 9.628
-3.230 1.865 9.628
0.000 -3.730 9.628
Cs Ni Au Cl
1 2 1 8
Direct
0.000 0.000 0.000
0.243 0.243 0.243
0.757 0.757 0.757
0.500 0.500 0.500
0.111 0.461 0.767
0.233 0.889 0.539
0.318 0.318 0.318
0.461 0.767 0.111
0.539 0.233 0.889
0.682 0.682 0.682
0.767 0.111 0.461
0.889 0.539 0.233
```

E: -3.1676 eV/atom

A plane-wave DFT calculation with PBE-GGA was carried out for a relaxed structure of Ho7Pb4N.

The structure in POSCAR format:
```
Ho7Pb4N
1.0
8.189 -2.499 0.000
8.189 2.499 0.000
-6.946 0.000 8.717
Ho Pb N
7 4 1
Direct
0.000 0.000 0.000
0.136 0.136 0.545
0.281 0.281 0.140
0.437 0.437 0.761
0.563 0.563 0.239
0.719 0.719 0.860
0.864 0.864 0.455
0.081 0.081 0.785
0.222 0.222 0.347
0.778 0.778 0.653
0.919 0.919 0.215
0.500 0.500 0.000
```

E: -5.0395 eV/atom

A plane-wave DFT calculation with PBE-GGA was carried out for a relaxed structure of Te2Pd2Au.

The structure in POSCAR format:
```
Te2Pd2Au
1.0
4.853 -4.779 0.000
4.853 4.779 0.000
-3.132 0.000 4.864
Te Pd Au
4 4 2
Direct
0.057 0.355 0.237
0.355 0.057 0.737
0.645 0.943 0.263
0.943 0.645 0.763
0.030 0.970 0.250
0.351 0.649 0.750
0.649 0.351 0.250
0.970 0.030 0.750
0.351 0.649 0.250
0.649 0.351 0.750
```

E: -4.1013 eV/atom

A plane-wave DFT calculation with PBE-GGA was carried out for a relaxed structure of Rb2InS.

The structure in POSCAR format:
```
Rb2InS
1.0
-5.624 5.624 3.039
5.624 -5.624 3.039
5.624 5.624 -3.039
Rb In S
4 2 2
Direct
0.375 0.009 0.134
0.759 0.625 0.634
0.875 0.241 0.866
0.991 0.125 0.366
0.250 0.750 0.500
0.500 0.500 0.000
0.000 0.000 0.000
0.750 0.250 0.500
```

Relative energy among the computed polymorphs: 0.000 eV/atom

A plane-wave DFT calculation with PBE-GGA was carried out for a relaxed structure of YSi2TcNi.

The structure in POSCAR format:
```
YSi2TcNi
1.0
4.324 0.000 0.000
0.000 4.324 0.000
0.000 0.000 4.827
Y Si Tc Ni
1 2 1 1
Direct
0.000 0.000 0.000
0.000 0.500 0.500
0.500 0.000 0.500
0.500 0.500 0.000
0.500 0.500 0.500
```

Relative energy among the computed polymorphs: 0.000 eV/atom

A plane-wave DFT calculation with PBE-GGA was carried out for a relaxed structure of Mg5CdSn2Hg2.

The structure in POSCAR format:
```
Mg5CdSn2Hg2
1.0
11.649 0.000 0.000
0.000 11.649 0.000
0.000 0.000 3.518
Mg Cd Sn Hg
10 2 4 4
Direct
0.000 0.500 0.000
0.013 0.207 0.000
0.207 0.987 0.000
0.293 0.487 0.000
0.487 0.707 0.000
0.500 0.000 0.000
0.513 0.293 0.000
0.707 0.513 0.000
0.793 0.013 0.000
0.987 0.793 0.000
0.000 0.000 0.500
0.500 0.500 0.500
0.176 0.676 0.500
0.324 0.176 0.500
0.676 0.824 0.500
0.824 0.324 0.500
0.140 0.360 0.500
0.360 0.860 0.500
0.640 0.140 0.500
0.860 0.640 0.500
```

DFT formation energy: -87 meV/atom

A plane-wave DFT calculation with PBE-GGA was carried out for a relaxed structure of YFeOs2.

The structure in POSCAR format:
```
YFeOs2
1.0
3.049 0.000 0.000
0.000 3.049 0.000
0.000 0.000 7.113
Y Fe Os
1 1 2
Direct
0.000 0.000 0.000
0.000 0.000 0.500
0.500 0.500 0.308
0.500 0.500 0.692
```

Relative energy among the computed polymorphs: 0.000 eV/atom
DFT formation energy: 232 meV/atom

A plane-wave DFT calculation with PBE-GGA was carried out for a relaxed structure of CaNdZnCu.

The structure in POSCAR format:
```
CaNdZnCu
1.0
0.000 3.620 3.620
3.620 0.000 3.620
3.620 3.620 0.000
Ca Nd Zn Cu
1 1 1 1
Direct
0.000 0.000 0.000
0.500 0.500 0.500
0.750 0.750 0.750
0.250 0.250 0.250
```

DFT formation energy: -195 meV/atom

A plane-wave DFT calculation with PBE-GGA was carried out for a relaxed structure of NaNdTm2Se4.

The structure in POSCAR format:
```
NaNdTm2Se4
1.0
7.140 0.000 0.000
0.000 4.068 0.000
-2.315 0.000 6.813
Na Nd Tm Se
1 1 2 4
Direct
0.000 0.000 0.000
0.500 0.500 0.000
0.000 0.500 0.500
0.500 0.000 0.500
0.240 0.000 0.735
0.253 0.500 0.265
0.747 0.500 0.735
0.760 0.000 0.265
```

E: -5.3416 eV/atom

A plane-wave DFT calculation with PBE-GGA was carried out for a relaxed structure of Ho3Al2Pt6.

The structure in POSCAR format:
```
Ho3Al2Pt6
1.0
-4.745 4.745 4.745
4.745 -4.745 4.745
4.745 4.745 -4.745
Ho Al Pt
6 4 12
Direct
0.000 0.300 0.300
0.000 0.700 0.700
0.300 0.000 0.300
0.300 0.300 0.000
0.700 0.000 0.700
0.700 0.700 0.000
0.000 0.000 0.500
0.000 0.500 0.000
0.500 0.000 0.000
0.500 0.500 0.500
0.000 0.321 0.679
0.000 0.679 0.321
0.321 0.000 0.679
0.321 0.321 0.641
0.321 0.641 0.321
0.321 0.679 0.000
0.359 0.679 0.679
0.641 0.321 0.321
0.679 0.000 0.321
0.679 0.321 0.000
0.679 0.359 0.679
0.679 0.679 0.359
```

DFT formation energy: -1150 meV/atom

A plane-wave DFT calculation with PBE-GGA was carried out for a relaxed structure of NaFeCl4.

The structure in POSCAR format:
```
NaFeCl4
1.0
6.057 0.000 0.000
0.000 10.135 0.000
-2.174 0.000 6.075
Na Fe Cl
2 2 8
Direct
0.099 0.250 0.104
0.901 0.750 0.896
0.341 0.750 0.437
0.659 0.250 0.563
0.149 0.577 0.252
0.149 0.923 0.252
0.296 0.250 0.564
0.370 0.750 0.789
0.630 0.250 0.211
0.704 0.750 0.436
0.851 0.077 0.748
0.851 0.423 0.748
```

Relative energy among the computed polymorphs: 0.013 eV/atom

A plane-wave DFT calculation with PBE-GGA was carried out for a relaxed structure of Ba2TlBr.

The structure in POSCAR format:
```
Ba2TlBr
1.0
0.000 4.314 4.314
4.314 0.000 4.314
4.314 4.314 0.000
Ba Tl Br
2 1 1
Direct
0.250 0.250 0.250
0.750 0.750 0.750
0.000 0.000 0.000
0.500 0.500 0.500
```

Relative energy among the computed polymorphs: 0.201 eV/atom

A plane-wave DFT calculation with PBE-GGA was carried out for a relaxed structure of NaZr2Pd2.

The structure in POSCAR format:
```
NaZr2Pd2
1.0
8.106 0.000 0.000
0.000 8.106 0.000
0.000 0.000 3.105
Na Zr Pd
2 4 4
Direct
0.000 0.000 0.000
0.500 0.500 0.000
0.159 0.341 0.500
0.341 0.841 0.500
0.659 0.159 0.500
0.841 0.659 0.500
0.133 0.633 0.000
0.367 0.133 0.000
0.633 0.867 0.000
0.867 0.367 0.000
```

Relative energy among the computed polymorphs: 0.000 eV/atom
DFT formation energy: -328 meV/atom

A plane-wave DFT calculation with PBE-GGA was carried out for a relaxed structure of TmPaH3.

The structure in POSCAR format:
```
TmPaH3
1.0
4.115 0.000 0.000
0.000 4.115 0.000
0.000 0.000 4.115
Tm Pa H
1 1 3
Direct
0.000 0.000 0.000
0.500 0.500 0.500
0.000 0.500 0.500
0.500 0.000 0.500
0.500 0.500 0.000
```

E: -4.8944 eV/atom

A plane-wave DFT calculation with PBE-GGA was carried out for a relaxed structure of Ce2TmTe5.

The structure in POSCAR format:
```
Ce2TmTe5
1.0
7.467 0.000 0.000
0.000 7.467 0.000
0.000 0.000 5.313
Ce Tm Te
2 1 5
Direct
0.000 0.500 0.000
0.500 0.000 0.000
0.000 0.000 0.500
0.000 0.000 0.000
0.278 0.278 0.500
0.278 0.722 0.500
0.722 0.278 0.500
0.722 0.722 0.500
```

E: -4.7020 eV/atom

A plane-wave DFT calculation with PBE-GGA was carried out for a relaxed structure of TbSmTlIr.

The structure in POSCAR format:
```
TbSmTlIr
1.0
0.000 3.650 3.650
3.650 0.000 3.650
3.650 3.650 0.000
Tb Sm Tl Ir
1 1 1 1
Direct
0.000 0.000 0.000
0.500 0.500 0.500
0.250 0.250 0.250
0.750 0.750 0.750
```

Relative energy among the computed polymorphs: 0.131 eV/atom
DFT formation energy: -433 meV/atom

A plane-wave DFT calculation with PBE-GGA was carried out for a relaxed structure of AlBiS2Cl.

The structure in POSCAR format:
```
AlBiS2Cl
1.0
5.070 0.000 0.000
0.000 5.070 0.000
0.000 0.000 6.530
Al Bi S Cl
1 1 2 1
Direct
0.000 0.000 0.000
0.000 0.000 0.500
0.000 0.500 0.500
0.500 0.000 0.500
0.500 0.500 0.000
```

Relative energy among the computed polymorphs: 0.908 eV/atom

The following size of the total moment values (in μB per formula unit) correspond, in order, to the records above: 2.00, 0.00, 5.37, 0.47, 0.00, 1.00, 1.85, 0.00, 2.18, 0.00, 0.00, 0.00, 5.00, 1.98, 0.00, 0.00, 2.30, 0.00, 0.00.